This record from the Alexandria database describes a relaxed Pa4C3S crystal. The functional is PBE.

* DOS at the Fermi energy: 10.61 states/eV/f.u.
* excess energy over the best structure of this formula in the dataset: 0.091 eV/atom
* crystal system: cubic
* total energy: -75.04 eV per cell
* space group: No. 221

Cell lengths 5.213, 5.213, 5.213 Å; angles 90.00, 90.00, 90.00 degrees
Sites, in units of the cell vectors:
C 0.500 0.000 0.500
C 0.500 0.500 0.000
C 0.000 0.500 0.500
Pa 0.000 0.000 0.500
Pa 0.500 0.000 0.000
Pa 0.000 0.500 0.000
Pa 0.500 0.500 0.500
S 0.000 0.000 0.000

***

This record from the Alexandria database describes a relaxed Ca2AsRu crystal. The functional is PBE.

* DOS at the Fermi energy: 2.20 states/eV/f.u.
* energy relative to the elements: 0.01 eV per atom
* crystal system: trigonal
* total energy: -17.89 eV per cell
* space group: No. 166

Cell lengths 9.032, 9.032, 9.032 Å; angles 21.92, 21.92, 21.92 degrees
Sites, in units of the cell vectors:
As 0.750 0.750 0.750
Ca 0.504 0.504 0.504
Ca 0.996 0.996 0.996
Ru 0.250 0.250 0.250

***

This record from the Alexandria database describes a relaxed MoRu2 crystal. The functional is PBE.

* DOS at the Fermi energy: 3.01 states/eV/f.u.
* energy relative to the elements: 1.01 eV per atom
* crystal system: cubic
* total energy: -105.45 eV per cell
* space group: No. 205

Cell lengths 5.943, 5.943, 5.943 Å; angles 90.00, 90.00, 90.00 degrees
Sites, in units of the cell vectors:
Ru 0.123 0.877 0.377
Ru 0.123 0.623 0.877
Ru 0.377 0.377 0.377
Ru 0.377 0.123 0.877
Ru 0.623 0.877 0.123
Ru 0.877 0.377 0.123
Ru 0.623 0.623 0.623
Ru 0.877 0.123 0.623
Mo 0.000 0.500 0.500
Mo 0.500 0.500 0.000
Mo 0.500 0.000 0.500
Mo 0.000 0.000 0.000